BaZrIn2: optimized geometry, GGA-PBE.

Properties
As for the formation energy: 1.1 eV/f.u. For the electronic total energy, the calculation gives -3.704 eV per atom. The space-group type is I-42d. For the energy relative to the lowest polymorph listed for this composition, the calculation gives 529 meV per atom.

Unit cell a=10.8087 b=10.8087 c=10.8087 alpha=150.62 beta=150.62 gamma=42.04
Last column: nearest neighbours and their distance in Å.
Positions (direct):
Ba 0.0000 0.0000 0.0000  4 In 3.54, 4 Zr 3.88
Ba 0.7500 0.2500 0.5000  4 In 3.54, 4 Zr 3.88
Zr 0.2500 0.7500 0.5000  4 In 2.95
Zr 0.5000 0.5000 0.0000  4 In 2.95
In 0.2513 0.6250 0.1263  2 Zr 2.95, 2 In 3.06
In 0.3750 0.5013 0.6263  2 Zr 2.95, 2 In 3.06
In 0.4987 0.1250 0.8737  2 Zr 2.95, 2 In 3.06
In 0.8750 0.7487 0.3737  2 Zr 2.95, 2 In 3.06